No. 1
Pr5Dy12In2 (GGA-PBE, relaxed); N(E_F) = 25.5 states/eV per cell; crystal system = monoclinic; SG = C2/m (12); magnetization = 0.00 μB/cell; E_form = -0.29 eV per formula unit
1.0
7.754 -4.670 0.000
7.754 4.670 0.000
-0.362 0.000 8.450
Pr Dy In
5 12 2
direct
0.000 0.000 0.000 Pr
0.234 0.234 0.077 Pr
0.304 0.304 0.488 Pr
0.696 0.696 0.512 Pr
0.766 0.766 0.923 Pr
0.040 0.673 0.264 Dy
0.077 0.077 0.381 Dy
0.181 0.566 0.829 Dy
0.327 0.960 0.736 Dy
0.434 0.819 0.171 Dy
0.447 0.447 0.174 Dy
0.553 0.553 0.826 Dy
0.566 0.181 0.829 Dy
0.673 0.040 0.264 Dy
0.819 0.434 0.171 Dy
0.923 0.923 0.619 Dy
0.960 0.327 0.736 Dy
0.322 0.678 0.500 In
0.678 0.322 0.500 In

=====

No. 2
Tb5Pr4Dy2 (GGA-PBE, relaxed); N(E_F) = 15.3 states/eV per cell; crystal system = monoclinic; SG = C2/m (12); magnetization = 0.00 μB/cell; E_form = 1.17 eV per formula unit
1.0
9.659 -2.855 0.000
9.659 2.855 0.000
-0.106 0.000 6.694
Tb Pr Dy
5 4 2
direct
0.000 0.000 0.000 Tb
0.291 0.291 0.597 Tb
0.370 0.370 0.108 Tb
0.630 0.630 0.892 Tb
0.709 0.709 0.403 Tb
0.194 0.194 0.072 Pr
0.481 0.481 0.712 Pr
0.519 0.519 0.288 Pr
0.806 0.806 0.928 Pr
0.097 0.097 0.554 Dy
0.903 0.903 0.446 Dy

=====

No. 3
Na2Tl2Br7 (GGA-PBE, relaxed); N(E_F) = 3.1 states/eV per cell; crystal system = monoclinic; formation energy without anion corrections = -19.57 kcal/mol of atoms; SG = C2/m (12); magnetization = 0.00 μB/cell
1.0
4.949 -6.530 0.000
4.949 6.530 0.000
-1.466 0.000 6.970
Na Tl Br
2 2 7
direct
0.190 0.810 0.000 Na
0.810 0.190 0.000 Na
0.246 0.246 0.610 Tl
0.754 0.754 0.390 Tl
0.073 0.073 0.251 Br
0.077 0.431 0.814 Br
0.431 0.077 0.814 Br
0.500 0.500 0.500 Br
0.569 0.923 0.186 Br
0.923 0.569 0.186 Br
0.927 0.927 0.749 Br

=====

No. 4
ZrPC2Br (GGA-PBE, relaxed); N(E_F) = 4.0 states/eV per cell; crystal system = tetragonal; formation energy without anion corrections = 39.45 kcal/mol of atoms; SG = P4/mmm (123); magnetization = 0.01 μB/cell
1.0
4.317 0.000 0.000
0.000 4.317 0.000
0.000 0.000 5.443
Zr P C Br
1 1 2 1
direct
0.000 0.000 0.000 Zr
0.000 0.000 0.500 P
0.000 0.500 0.000 C
0.500 0.000 0.000 C
0.500 0.500 0.500 Br

=====

No. 5
TmI2Br (GGA-PBE, relaxed); N(E_F) = 0.0 states/eV per cell; crystal system = orthorhombic; formation energy without anion corrections = -34.03 kcal/mol of atoms; SG = Imm2 (44); magnetization = 0.00 μB/cell
1.0
-1.930 6.397 3.864
1.930 -6.397 3.864
1.930 6.397 -3.864
Tm I Br
1 2 1
direct
0.000 0.000 0.000 Tm
0.309 0.653 0.656 I
0.996 0.653 0.344 I
0.736 0.236 0.500 Br

=====

No. 6
MgReI3 (GGA-PBE, relaxed); N(E_F) = 0.0 states/eV per cell; crystal system = cubic; formation energy without anion corrections = 17.02 kcal/mol of atoms; SG = Pm-3m (221); magnetization = 6.00 μB/cell
1.0
5.734 0.000 0.000
0.000 5.734 0.000
0.000 0.000 5.734
Mg Re I
1 1 3
direct
0.000 0.000 0.000 Mg
0.500 0.500 0.500 Re
0.000 0.000 0.500 I
0.000 0.500 0.000 I
0.500 0.000 0.000 I

=====

No. 7
Ac2MgCrS6 (GGA-PBE, relaxed); N(E_F) = 10.6 states/eV per cell; crystal system = orthorhombic; formation energy without anion corrections = -31.93 kcal/mol of atoms; SG = Pmmn (59); magnetization = 4.17 μB/cell
1.0
6.768 0.000 0.000
0.000 9.419 0.000
0.000 0.000 6.845
Ac Mg Cr S
4 2 2 12
direct
0.250 0.014 0.220 Ac
0.250 0.486 0.220 Ac
0.750 0.514 0.780 Ac
0.750 0.986 0.780 Ac
0.250 0.750 0.759 Mg
0.750 0.250 0.241 Mg
0.250 0.250 0.722 Cr
0.750 0.750 0.278 Cr
0.001 0.250 0.974 S
0.016 0.250 0.482 S
0.250 0.009 0.771 S
0.250 0.491 0.771 S
0.484 0.250 0.482 S
0.499 0.250 0.974 S
0.501 0.750 0.026 S
0.516 0.750 0.518 S
0.750 0.509 0.229 S
0.750 0.991 0.229 S
0.984 0.750 0.518 S
0.999 0.750 0.026 S

=====

No. 8
Pu4Pd2Au (GGA-PBE, relaxed); N(E_F) = 72.1 states/eV per cell; crystal system = tetragonal; SG = I-42d (122); magnetization = 46.44 μB/cell; E_form = -2.04 eV per formula unit
1.0
-4.421 4.421 4.391
4.421 -4.421 4.391
4.421 4.421 -4.391
Pu Pd Au
8 4 2
direct
0.113 0.515 0.746 Pu
0.117 0.019 0.754 Pu
0.265 0.363 0.246 Pu
0.485 0.231 0.598 Pu
0.633 0.887 0.402 Pu
0.637 0.883 0.902 Pu
0.769 0.367 0.254 Pu
0.981 0.735 0.098 Pu
0.007 0.125 0.382 Pd
0.375 0.993 0.118 Pd
0.743 0.625 0.618 Pd
0.875 0.257 0.882 Pd
0.250 0.750 0.500 Au
0.500 0.500 0.000 Au

=====

No. 9
TbDyHgPb (GGA-PBE, relaxed); N(E_F) = 4.5 states/eV per cell; crystal system = orthorhombic; SG = Pmmm (47); magnetization = 0.01 μB/cell; E_form = -1.84 eV per formula unit
1.0
4.121 0.000 0.000
0.000 5.123 0.000
0.000 0.000 5.124
Tb Dy Hg Pb
1 1 1 1
direct
0.000 0.000 0.000 Tb
0.000 0.500 0.500 Dy
0.500 0.500 0.000 Hg
0.500 0.000 0.500 Pb

=====

No. 10
CsTlAsRu (GGA-PBE, relaxed); N(E_F) = 7.9 states/eV per cell; crystal system = tetragonal; SG = P4/nmm (129); magnetization = 0.00 μB/cell; E_form = -0.99 eV per formula unit
1.0
4.275 0.000 0.000
0.000 4.275 0.000
0.000 0.000 14.333
Cs Tl As Ru
2 2 2 2
direct
0.250 0.250 0.232 Cs
0.750 0.750 0.768 Cs
0.250 0.750 0.500 Tl
0.750 0.250 0.500 Tl
0.250 0.250 0.916 As
0.750 0.750 0.084 As
0.250 0.750 0.000 Ru
0.750 0.250 0.000 Ru

=====

No. 11
K2RbNa5Tl2 (GGA-PBE, relaxed); N(E_F) = 9.6 states/eV per cell; crystal system = tetragonal; SG = P4/mbm (127); magnetization = 0.00 μB/cell; E_form = -0.46 eV per formula unit
1.0
12.699 0.000 0.000
0.000 12.699 0.000
0.000 0.000 5.345
K Rb Na Tl
4 2 10 4
direct
0.182 0.318 0.000 K
0.318 0.818 0.000 K
0.682 0.182 0.000 K
0.818 0.682 0.000 K
0.000 0.000 0.000 Rb
0.500 0.500 0.000 Rb
0.000 0.500 0.500 Na
0.067 0.765 0.500 Na
0.235 0.067 0.500 Na
0.265 0.567 0.500 Na
0.433 0.265 0.500 Na
0.500 0.000 0.500 Na
0.567 0.735 0.500 Na
0.735 0.433 0.500 Na
0.765 0.933 0.500 Na
0.933 0.235 0.500 Na
0.105 0.605 0.000 Tl
0.395 0.105 0.000 Tl
0.605 0.895 0.000 Tl
0.895 0.395 0.000 Tl

=====

No. 12
KSrHf2 (GGA-PBE, relaxed); N(E_F) = 8.7 states/eV per cell; crystal system = cubic; SG = Fm-3m (225); magnetization = 0.00 μB/cell; E_form = 5.58 eV per formula unit
1.0
0.000 3.998 3.998
3.998 0.000 3.998
3.998 3.998 0.000
K Sr Hf
1 1 2
direct
0.000 0.000 0.000 K
0.500 0.500 0.500 Sr
0.250 0.250 0.250 Hf
0.750 0.750 0.750 Hf